1.
A plane-wave DFT calculation with PBE was carried out for CaCd2Si after structural relaxation.

Cell lengths 3.5008, 4.3901, 6.2711 Å; angles 90.00, 105.83, 90.00 degrees
Sites, in units of the cell vectors:
Ca: 0.0000 0.0000 0.0000
Cd: 0.2705 0.0000 0.5368
Cd: 0.6648 0.5000 0.3236
Si: 0.4108 0.5000 0.8167

Calculated values
spin magnetization = 0.0 μB/f.u.
formation energy without anion corrections = -0.11 eV/atom
symmetry = Pm
calculated volume = 23.18 Å³/atom

---

2.
A plane-wave DFT calculation with PBE was carried out for Tb6PmHo3Er2 after structural relaxation.

Cell lengths 6.1441, 6.1441, 11.7636 Å; angles 94.97, 94.97, 119.96 degrees
Sites, in units of the cell vectors:
Tb: 0.0819 0.4159 0.2490
Tb: 0.2501 0.2501 0.7509
Tb: 0.4159 0.0819 0.2490
Tb: 0.5841 0.9181 0.7510
Tb: 0.7499 0.7499 0.2491
Tb: 0.9181 0.5841 0.7510
Pm: 0.5000 0.5000 0.5000
Ho: 0.0000 0.0000 0.0000
Ho: 0.3330 0.6670 0.0000
Ho: 0.6670 0.3330 0.0000
Er: 0.1666 0.8334 0.5000
Er: 0.8334 0.1666 0.5000

Calculated values
spin magnetization = 0.0 μB/f.u.
symmetry = C2/m
formation energy from the elements = 16 meV per atom
calculated volume = 31.58 Å³/atom

---

3.
A plane-wave DFT calculation with PBE was carried out for Ir3PtW after structural relaxation.

Cell lengths 4.6972, 4.6972, 4.6972 Å; angles 90.00, 90.00, 90.00 degrees
Sites, in units of the cell vectors:
Ir: 0.0000 0.0000 0.5000
Ir: 0.0000 0.5000 0.0000
Ir: 0.5000 0.0000 0.0000
Pt: 0.5000 0.5000 0.5000
W: 0.0000 0.0000 0.0000

Calculated values
spin magnetization = 0.0 μB/f.u.
energy relative to the lowest polymorph listed for this composition = 0 meV/atom
symmetry = Pm-3m
formation energy from the elements = 1825 meV per atom
calculated volume = 20.73 Å³/atom

---

4.
A plane-wave DFT calculation with PBE was carried out for Np2Cl8O after structural relaxation.

Cell lengths 9.6474, 9.6474, 5.3593 Å; angles 105.93, 105.93, 66.28 degrees
Sites, in units of the cell vectors:
Np: 0.1339 0.1339 0.1335
Np: 0.8661 0.8661 0.8665
Cl: 0.1020 0.6331 0.8674
Cl: 0.1321 0.1321 0.6316
Cl: 0.2957 0.2957 0.2935
Cl: 0.3669 0.8980 0.1326
Cl: 0.6331 0.1020 0.8674
Cl: 0.7043 0.7043 0.7065
Cl: 0.8679 0.8679 0.3684
Cl: 0.8980 0.3669 0.1326
O: 0.0000 0.0000 0.0000

Calculated values
spin magnetization = 4.0 μB/f.u.
formation energy without anion corrections = -1.62 eV/atom
symmetry = C2/m
calculated volume = 39.22 Å³/atom

---

5.
A plane-wave DFT calculation with PBE was carried out for TaBe4Co after structural relaxation.

Cell lengths 5.9968, 3.5581, 5.8289 Å; angles 90.00, 90.00, 90.00 degrees
Sites, in units of the cell vectors:
Ta: 0.2500 0.0000 0.1341
Ta: 0.7500 0.0000 0.8659
Be: 0.0000 0.0000 0.5000
Be: 0.0597 0.5000 0.8161
Be: 0.2500 0.5000 0.4710
Be: 0.4403 0.5000 0.8161
Be: 0.5000 0.0000 0.5000
Be: 0.5597 0.5000 0.1839
Be: 0.7500 0.5000 0.5290
Be: 0.9403 0.5000 0.1839
Co: 0.2500 0.0000 0.7221
Co: 0.7500 0.0000 0.2779

Calculated values
spin magnetization = 0.0 μB/f.u.
energy relative to the lowest polymorph listed for this composition = 42 meV/atom
symmetry = Pmma
formation energy from the elements = -134 meV per atom
calculated volume = 10.36 Å³/atom

---

6.
A plane-wave DFT calculation with PBE was carried out for Ho4MgRh3 after structural relaxation.

Cell lengths 8.2045, 8.2045, 8.2045 Å; angles 97.19, 97.19, 138.55 degrees
Sites, in units of the cell vectors:
Ho: 0.0792 0.7824 0.8616
Ho: 0.2176 0.0792 0.2968
Ho: 0.2824 0.5792 0.8616
Ho: 0.4208 0.2824 0.7032
Ho: 0.5792 0.7176 0.2968
Ho: 0.7176 0.4208 0.1384
Ho: 0.7824 0.9208 0.7032
Ho: 0.9208 0.2176 0.1384
Mg: 0.2500 0.7500 0.5000
Mg: 0.7500 0.2500 0.5000
Rh: 0.1628 0.3372 0.5000
Rh: 0.2500 0.2500 0.0000
Rh: 0.3372 0.8372 0.1744
Rh: 0.6628 0.1628 0.8256
Rh: 0.7500 0.7500 0.0000
Rh: 0.8372 0.6628 0.5000

Calculated values
spin magnetization = 0.0 μB/f.u.
symmetry = I4/mcm
formation energy from the elements = -705 meV per atom
calculated volume = 21.37 Å³/atom

---

N(E_F) across the listed records, respectively: 0.29; 1.28; 0.95; 1.11; 0.59; 0.36 states/eV/atom.